Li3Ni2F8, optimized geometry, DFT PBE+U; E = -4.3170 eV/atom; crystal system = monoclinic; symmetry = C2/m; DOS at the Fermi energy = 6.431 states/eV/cell
1.0
4.773 -2.979 0.000
4.773 2.979 0.000
-0.422 0.000 4.878
Li Ni F
3 2 8
direct
0.000 0.000 0.000 Li
0.252 0.748 0.500 Li
0.748 0.252 0.500 Li
0.268 0.268 0.995 Ni
0.732 0.732 0.005 Ni
0.088 0.622 0.835 F
0.112 0.112 0.701 F
0.378 0.912 0.165 F
0.401 0.401 0.300 F
0.599 0.599 0.700 F
0.622 0.088 0.835 F
0.888 0.888 0.299 F
0.912 0.378 0.165 F